(1)
5
Lattice="4.698 0.000 0.000 0.000 4.698 0.000 0.000 0.000 4.974" Properties=species:S:1:pos:R:3 comment="meta-GGA SCAN HfHgIrRh2, single point on PBEsol structure" magmom_total_mub_per_fu=0.01 delta_e_f_ev_per_atom=1.91 pbc="T T T"
Hf 0.000 0.000 0.000
Hg 0.000 0.000 2.487
Ir 2.349 2.349 0.000
Rh 0.000 2.349 2.487
Rh 2.349 0.000 2.487


(2)
5
Lattice="4.977 0.000 0.000 0.000 4.977 0.000 0.000 0.000 4.055" Properties=species:S:1:pos:R:3 comment="meta-GGA SCAN LiHfHgPt2, single point on PBEsol structure" magmom_total_mub_per_fu=0.00 delta_e_f_ev_per_atom=0.46 pbc="T T T"
Li 0.000 0.000 0.000
Hf 2.488 2.488 0.000
Hg 0.000 0.000 2.028
Pt 0.000 2.488 2.028
Pt 2.488 0.000 2.028


(3)
5
Lattice="4.848 0.000 0.000 0.000 4.848 0.000 0.000 0.000 4.848" Properties=species:S:1:pos:R:3 comment="meta-GGA SCAN HfMnHg3, single point on PBEsol structure" magmom_total_mub_per_fu=3.30 delta_e_f_ev_per_atom=0.71 pbc="T T T"
Hf 0.000 0.000 0.000
Mn 2.424 2.424 2.424
Hg 0.000 2.424 2.424
Hg 2.424 0.000 2.424
Hg 2.424 2.424 0.000


(4)
5
Lattice="4.718 0.000 0.000 0.000 4.718 0.000 0.000 0.000 4.718" Properties=species:S:1:pos:R:3 comment="meta-GGA SCAN HfHgMo3, single point on PBEsol structure" magmom_total_mub_per_fu=0.00 delta_e_f_ev_per_atom=1.94 pbc="T T T"
Hf 0.000 0.000 0.000
Hg 2.359 2.359 2.359
Mo 0.000 0.000 2.359
Mo 0.000 2.359 0.000
Mo 2.359 0.000 0.000


(5)
5
Lattice="5.508 0.000 0.000 0.000 5.508 0.000 0.000 0.000 3.828" Properties=species:S:1:pos:R:3 comment="meta-GGA SCAN HfHg2MoO, single point on PBEsol structure" magmom_total_mub_per_fu=4.19 raw_formation_energy_ev_per_atom=-0.040 pbc="T T T"
Hf 0.000 0.000 0.000
Hg 0.000 2.754 0.000
Hg 2.754 0.000 0.000
Mo 2.754 2.754 1.914
O 0.000 0.000 1.914


(6)
5
Lattice="4.651 0.000 0.000 0.000 4.651 0.000 0.000 0.000 5.074" Properties=species:S:1:pos:R:3 comment="meta-GGA SCAN HfHgMo2Pt, single point on PBEsol structure" magmom_total_mub_per_fu=0.00 delta_e_f_ev_per_atom=1.97 pbc="T T T"
Hf 0.000 0.000 0.000
Hg 0.000 0.000 2.537
Mo 0.000 2.325 0.000
Mo 2.325 0.000 0.000
Pt 2.325 2.325 2.537


(7)
5
Lattice="4.388 0.000 0.000 0.000 4.388 0.000 0.000 0.000 4.388" Properties=species:S:1:pos:R:3 comment="meta-GGA SCAN Hf3HgN, single point on PBEsol structure" magmom_total_mub_per_fu=0.00 raw_formation_energy_ev_per_atom=-0.906 pbc="T T T"
Hf 0.000 0.000 2.194
Hf 0.000 2.194 0.000
Hf 2.194 0.000 0.000
Hg 2.194 2.194 2.194
N 0.000 0.000 0.000


(8)
5
Lattice="5.180 0.000 0.000 0.000 5.180 0.000 0.000 0.000 3.952" Properties=species:S:1:pos:R:3 comment="meta-GGA SCAN HfHgSe2N, single point on PBEsol structure" magmom_total_mub_per_fu=0.35 raw_formation_energy_ev_per_atom=1.077 pbc="T T T"
Hf 0.000 0.000 0.000
Hg 2.590 2.590 1.976
Se 0.000 2.590 1.976
Se 2.590 0.000 1.976
N 2.590 2.590 0.000


(9)
5
Lattice="5.206 0.000 0.000 0.000 5.206 0.000 0.000 0.000 4.717" Properties=species:S:1:pos:R:3 comment="meta-GGA SCAN HfZrNbHg2, single point on PBEsol structure" magmom_total_mub_per_fu=0.52 delta_e_f_ev_per_atom=0.97 pbc="T T T"
Hf 0.000 0.000 0.000
Zr 2.603 2.603 0.000
Nb 0.000 0.000 2.358
Hg 0.000 2.603 2.358
Hg 2.603 0.000 2.358


(10)
5
Lattice="4.549 0.000 0.000 0.000 4.549 0.000 0.000 0.000 4.549" Properties=species:S:1:pos:R:3 comment="meta-GGA SCAN HfNi3Hg, single point on PBEsol structure" magmom_total_mub_per_fu=0.00 delta_e_f_ev_per_atom=1.27 pbc="T T T"
Hf 0.000 0.000 0.000
Ni 0.000 2.275 2.275
Ni 2.275 0.000 2.275
Ni 2.275 2.275 0.000
Hg 2.275 2.275 2.275


(11)
5
Lattice="5.471 0.000 0.000 0.000 5.471 0.000 0.000 0.000 5.471" Properties=species:S:1:pos:R:3 comment="meta-GGA SCAN HfHg3O, single point on PBEsol structure" magmom_total_mub_per_fu=0.86 raw_formation_energy_ev_per_atom=0.937 pbc="T T T"
Hf 0.000 0.000 0.000
Hg 0.000 0.000 2.736
Hg 0.000 2.736 0.000
Hg 2.736 0.000 0.000
O 2.736 2.736 2.736


(12)
5
Lattice="4.586 0.000 0.000 0.000 4.586 0.000 0.000 0.000 4.925" Properties=species:S:1:pos:R:3 comment="meta-GGA SCAN HfTcHgOs2, single point on PBEsol structure" magmom_total_mub_per_fu=0.00 delta_e_f_ev_per_atom=1.55 pbc="T T T"
Hf 0.000 0.000 0.000
Tc 2.293 2.293 2.462
Hg 2.293 2.293 0.000
Os 0.000 2.293 2.462
Os 2.293 0.000 2.462


(13)
5
Lattice="5.021 0.000 0.000 0.000 5.021 0.000 0.000 0.000 5.238" Properties=species:S:1:pos:R:3 comment="meta-GGA SCAN YHf2HgPd, single point on PBEsol structure" magmom_total_mub_per_fu=0.00 delta_e_f_ev_per_atom=1.65 pbc="T T T"
Y 0.000 0.000 0.000
Hf 0.000 2.511 0.000
Hf 2.511 0.000 0.000
Hg 0.000 0.000 2.619
Pd 2.511 2.511 2.619


(14)
5
Lattice="4.771 0.000 0.000 0.000 4.771 0.000 0.000 0.000 4.816" Properties=species:S:1:pos:R:3 comment="meta-GGA SCAN HfHgPtW2, single point on PBEsol structure" magmom_total_mub_per_fu=0.00 delta_e_f_ev_per_atom=2.12 pbc="T T T"
Hf 0.000 0.000 0.000
Hg 2.386 2.386 2.408
Pt 0.000 0.000 2.408
W 0.000 2.386 0.000
W 2.386 0.000 0.000


(15)
5
Lattice="4.992 0.000 0.000 0.000 4.992 0.000 0.000 0.000 4.992" Properties=species:S:1:pos:R:3 comment="meta-GGA SCAN Hf3ReHg, single point on PBEsol structure" magmom_total_mub_per_fu=0.00 delta_e_f_ev_per_atom=1.71 pbc="T T T"
Hf 0.000 0.000 2.496
Hf 0.000 2.496 0.000
Hf 2.496 0.000 0.000
Re 2.496 2.496 2.496
Hg 0.000 0.000 0.000


(16)
5
Lattice="4.971 0.000 0.000 0.000 4.971 0.000 0.000 0.000 4.971" Properties=species:S:1:pos:R:3 comment="meta-GGA SCAN HfHg3Rh, single point on PBEsol structure" magmom_total_mub_per_fu=0.01 delta_e_f_ev_per_atom=0.85 pbc="T T T"
Hf 0.000 0.000 0.000
Hg 0.000 2.485 2.485
Hg 2.485 0.000 2.485
Hg 2.485 2.485 0.000
Rh 2.485 2.485 2.485


(17)
4
Lattice="0.000 3.289 3.289 3.289 0.000 3.289 3.289 3.289 0.000" Properties=species:S:1:pos:R:3 comment="meta-GGA SCAN HfHg2Rh, single point on PBEsol structure" magmom_total_mub_per_fu=0.00 delta_e_f_ev_per_atom=-0.16 pbc="T T T"
Hf 0.000 0.000 0.000
Hg 1.645 1.645 1.645
Hg 4.934 4.934 4.934
Rh 3.289 3.289 3.289


(18)
5
Lattice="5.124 0.000 0.000 0.000 5.124 0.000 0.000 0.000 4.805" Properties=species:S:1:pos:R:3 comment="meta-GGA SCAN HfHg2TeRu, single point on PBEsol structure" magmom_total_mub_per_fu=0.00 raw_formation_energy_ev_per_atom=0.407 pbc="T T T"
Hf 0.000 0.000 0.000
Hg 0.000 2.562 2.402
Hg 2.562 0.000 2.402
Te 2.562 2.562 0.000
Ru 0.000 0.000 2.402


(19)
5
Lattice="5.287 0.000 0.000 0.000 5.287 0.000 0.000 0.000 4.587" Properties=species:S:1:pos:R:3 comment="meta-GGA SCAN YHfHg2Ru, single point on PBEsol structure" magmom_total_mub_per_fu=0.00 delta_e_f_ev_per_atom=1.27 pbc="T T T"
Y 0.000 0.000 0.000
Hf 2.643 2.643 2.294
Hg 0.000 2.643 0.000
Hg 2.643 0.000 0.000
Ru 0.000 0.000 2.294


(20)
5
Lattice="5.083 0.000 0.000 0.000 5.083 0.000 0.000 0.000 5.083" Properties=species:S:1:pos:R:3 comment="meta-GGA SCAN HfScHg3, single point on PBEsol structure" magmom_total_mub_per_fu=0.00 delta_e_f_ev_per_atom=0.83 pbc="T T T"
Hf 0.000 0.000 0.000
Sc 2.542 2.542 2.542
Hg 0.000 2.542 2.542
Hg 2.542 0.000 2.542
Hg 2.542 2.542 0.000


(21)
5
Lattice="4.884 0.000 0.000 0.000 4.884 0.000 0.000 0.000 4.916" Properties=species:S:1:pos:R:3 comment="meta-GGA SCAN HfSc2ZnHg, single point on PBEsol structure" magmom_total_mub_per_fu=0.00 delta_e_f_ev_per_atom=0.26 pbc="T T T"
Hf 0.000 0.000 0.000
Sc 0.000 2.442 2.458
Sc 2.442 0.000 2.458
Zn 0.000 0.000 2.458
Hg 2.442 2.442 0.000


(22)
4
Lattice="1.830 1.056 9.724 -1.830 1.056 9.724 0.000 -2.113 9.724" Properties=species:S:1:pos:R:3 comment="meta-GGA SCAN HfHgSe2, single point on PBEsol structure" magmom_total_mub_per_fu=0.00 raw_formation_energy_ev_per_atom=-1.059 pbc="T T T"
Hf 0.000 0.000 0.000
Hg 0.000 0.000 14.586
Se 0.000 0.000 11.315
Se 0.000 0.000 17.857


(23)
8
Lattice="-3.688 3.688 4.973 3.688 -3.688 4.973 3.688 3.688 -4.973" Properties=species:S:1:pos:R:3 comment="meta-GGA SCAN HfHgSe2, single point on PBEsol structure" magmom_total_mub_per_fu=0.00 raw_formation_energy_ev_per_atom=-0.738 pbc="T T T"
Hf 0.000 0.000 0.000
Hf 0.000 3.688 2.486
Hg 3.688 0.000 2.486
Hg 0.000 0.000 4.973
Se 5.532 1.134 -1.243
Se 1.134 1.844 1.243
Se -1.844 2.553 3.730
Se 2.553 1.844 6.216


(24)
5
Lattice="5.961 0.000 0.000 0.000 5.961 0.000 0.000 0.000 5.334" Properties=species:S:1:pos:R:3 comment="meta-GGA SCAN Sr2HfTlHg, single point on PBEsol structure" magmom_total_mub_per_fu=2.33 delta_e_f_ev_per_atom=0.64 pbc="T T T"
Sr 0.000 2.980 0.000
Sr 2.980 0.000 0.000
Hf 0.000 0.000 2.667
Tl 2.980 2.980 2.667
Hg 2.980 2.980 0.000


(25)
5
Lattice="5.071 0.000 0.000 0.000 5.071 0.000 0.000 0.000 4.794" Properties=species:S:1:pos:R:3 comment="meta-GGA SCAN HfTaHg2W, single point on PBEsol structure" magmom_total_mub_per_fu=0.00 delta_e_f_ev_per_atom=1.81 pbc="T T T"
Hf 0.000 0.000 0.000
Ta 2.536 2.536 0.000
Hg 0.000 2.536 2.397
Hg 2.536 0.000 2.397
W 0.000 0.000 2.397


(26)
4
Lattice="1.914 1.105 10.467 -1.914 1.105 10.467 0.000 -2.210 10.467" Properties=species:S:1:pos:R:3 comment="meta-GGA SCAN HfHgTe2, single point on PBEsol structure" magmom_total_mub_per_fu=0.00 raw_formation_energy_ev_per_atom=-0.581 pbc="T T T"
Hf 0.000 0.000 0.000
Hg 0.000 0.000 15.700
Te 0.000 0.000 12.266
Te 0.000 0.000 19.134


(27)
5
Lattice="4.708 0.000 0.000 0.000 4.708 0.000 0.000 0.000 5.117" Properties=species:S:1:pos:R:3 comment="meta-GGA SCAN YHfTi2Hg, single point on PBEsol structure" magmom_total_mub_per_fu=2.31 delta_e_f_ev_per_atom=1.50 pbc="T T T"
Y 0.000 0.000 0.000
Hf 0.000 0.000 2.559
Ti 0.000 2.354 0.000
Ti 2.354 0.000 0.000
Hg 2.354 2.354 2.559


(28)
4
Lattice="0.000 3.258 3.258 3.258 0.000 3.258 3.258 3.258 0.000" Properties=species:S:1:pos:R:3 comment="meta-GGA SCAN HoHfRu2, single point on PBEsol structure" magmom_total_mub_per_fu=0.00 delta_e_f_ev_per_atom=-0.72 pbc="T T T"
Ho 0.000 0.000 0.000
Hf 3.258 3.258 3.258
Ru 1.629 1.629 1.629
Ru 4.887 4.887 4.887


(29)
8
Lattice="7.274 0.000 0.000 -3.637 6.299 0.000 0.000 0.000 6.352" Properties=species:S:1:pos:R:3 comment="meta-GGA SCAN HfI3, single point on PBEsol structure" magmom_total_mub_per_fu=0.00 raw_formation_energy_ev_per_atom=-0.911 pbc="T T T"
Hf 0.000 0.000 0.000
Hf 0.000 0.000 3.176
I -1.190 2.061 1.588
I -2.447 4.238 4.764
I 2.380 0.000 1.588
I 1.190 2.061 4.764
I 4.894 0.000 4.764
I 2.447 4.238 1.588